Entry 1:
Ca2TmBr2N2 | PBE-GGA | optimized geometry

Results
**Uncorrected formation energy**: -129.0 kJ per mole of atoms
**Space group**: I4/mmm (139)

Lattice parameters (Å, degrees): 8.5124 8.5124 8.5124 150.36 150.36 42.41
Positions (direct):
Ca: 0.0984 0.0984 0.0000
Ca: 0.9016 0.9016 0.0000
Tm: 0.5000 0.5000 0.0000
Br: 0.3182 0.3182 0.0000
Br: 0.6818 0.6818 0.0000
N: 0.0000 0.5000 0.5000
N: 0.5000 0.0000 0.5000



Entry 2:
MnBeGeRu2 | PBE-GGA | optimized geometry

Results
**Calculated formation energy**: 376 meV per atom
**Space group**: P4/mmm (123)

Lattice parameters (Å, degrees): 4.1411 4.1411 3.9638 90.00 90.00 90.00
Positions (direct):
Mn: 0.0000 0.0000 0.0000
Be: 0.0000 0.0000 0.5000
Ge: 0.5000 0.5000 0.0000
Ru: 0.0000 0.5000 0.5000
Ru: 0.5000 0.0000 0.5000



Electronic total energy in eV/cell, matching the order above: -37.8, -34.2